VASP calculation (PBE) on a relaxed Ho2ErCd crystal.

The structure in extended XYZ format:
```
4
Lattice="-4.534 0.126 2.940 -0.951 -3.855 3.668 0.229 1.170 5.272" Properties=species:S:1:pos:R:3 pbc="T T T"
Ho -3.942 -1.919 8.909
Ho -1.314 -0.640 2.970
Cd -2.628 -1.279 5.940
Er 0.000 0.000 0.000
```

Output
- formation energy from the elements (meV per atom) = -16
- density (Mg/m³) = 9.1



VASP calculation (PBE) on a relaxed Ho2ErCd8 crystal.

The structure in extended XYZ format:
```
11
Lattice="-0.902 -3.391 4.014 4.192 -3.868 -2.677 4.143 7.020 3.497" Properties=species:S:1:pos:R:3 pbc="T T T"
Cd 4.710 -2.155 -0.905
Cd 4.946 -0.287 4.444
Cd 1.517 -4.559 1.603
Cd 1.866 -0.338 3.674
Cd 1.773 -2.700 -0.266
Cd 5.567 0.099 1.159
Cd 2.723 1.916 5.739
Cd 2.487 0.047 0.390
Ho 3.822 -2.354 2.235
Ho 3.611 2.115 2.599
Er -0.451 -1.695 2.007
```

Output
- formation energy from the elements (meV per atom) = -214
- density (Mg/m³) = 8.7



VASP calculation (PBE) on a relaxed Ho5ErCd4 crystal.

The structure in extended XYZ format:
```
10
Lattice="-1.737 2.497 -2.016 1.911 -1.037 -2.931 -14.373 -13.662 -4.537" Properties=species:S:1:pos:R:3 pbc="T T T"
Ho -4.391 -3.527 -3.887
Ho -12.582 -11.313 -6.473
Ho -1.616 -0.889 -3.011
Ho -9.808 -8.675 -5.597
Ho -7.099 -6.101 -4.742
Cd -11.278 -10.720 -3.560
Cd -3.095 -2.941 -0.977
Cd -5.825 -5.537 -1.839
Cd -8.548 -8.125 -2.698
Er 0.000 0.000 0.000
```

Output
- formation energy from the elements (meV per atom) = -236
- density (Mg/m³) = 8.8



VASP calculation (PBE) on a relaxed Ho2ErCd4 crystal.

The structure in extended XYZ format:
```
7
Lattice="-5.056 0.927 -1.265 -0.338 -4.814 -2.176 0.709 -0.650 7.766" Properties=species:S:1:pos:R:3 pbc="T T T"
Ho -3.660 -3.200 1.208
Ho -1.025 -1.337 3.117
Er 0.000 0.000 0.000
Cd -1.701 -4.405 3.570
Cd -4.060 -1.535 4.026
Cd -2.984 -0.131 0.754
Cd -0.625 -3.002 0.299
```

Output
- formation energy from the elements (meV per atom) = -152
- density (Mg/m³) = 8.2



VASP calculation (PBE) on a relaxed Ho7Er3Cd crystal.

The structure in extended XYZ format:
```
11
Lattice="-2.324 7.428 3.310 2.483 -1.955 6.132 4.085 3.278 -4.489" Properties=species:S:1:pos:R:3 pbc="T T T"
Ho 1.504 1.664 -0.078
Ho 4.773 2.322 0.739
Ho 3.537 3.296 -2.313
Ho 3.721 3.858 3.604
Ho 1.717 2.250 5.806
Ho 0.499 3.209 2.798
Ho 2.753 0.633 2.967
Cd 2.510 4.861 0.534
Er 2.689 5.511 6.471
Er 1.459 6.479 3.434
Er -0.565 4.856 5.658
```

Output
- formation energy from the elements (meV per atom) = 168
- density (Mg/m³) = 8.4



VASP calculation (PBE) on a relaxed Ho3Er12Cd crystal.

The structure in extended XYZ format:
```
16
Lattice="4.913 0.000 0.000 0.000 4.913 0.000 0.000 0.000 19.849" Properties=species:S:1:pos:R:3 pbc="T T T"
Er 2.457 0.000 7.411
Er 2.457 2.457 14.993
Er 2.457 2.457 9.924
Er 2.457 2.457 4.856
Er 0.000 2.457 2.416
Er 2.457 2.457 0.000
Er 2.457 0.000 2.416
Er 0.000 2.457 17.432
Er 2.457 0.000 12.437
Er 0.000 2.457 12.437
Er 2.457 0.000 17.432
Er 0.000 2.457 7.411
Ho 0.000 0.000 14.925
Ho 0.000 0.000 4.924
Ho 0.000 0.000 9.924
Cd 0.000 0.000 0.000
```

Output
- formation energy from the elements (meV per atom) = -3
- density (Mg/m³) = 9.1



VASP calculation (PBE) on a relaxed Ho2ErCd3 crystal.

The structure in extended XYZ format:
```
6
Lattice="-3.436 -0.811 -1.190 0.302 -3.416 1.457 -4.214 3.734 9.626" Properties=species:S:1:pos:R:3 pbc="T T T"
Er -3.674 -0.246 4.947
Cd -2.804 2.485 6.405
Cd 0.000 0.000 0.000
Cd -1.410 1.249 3.220
Ho -2.271 -1.489 1.742
Ho -5.077 0.997 8.151
```

Output
- formation energy from the elements (meV per atom) = -317
- density (Mg/m³) = 9.0



VASP calculation (PBE) on a relaxed HoErCd crystal.

The structure in extended XYZ format:
```
3
Lattice="-0.678 1.283 -3.262 -1.911 -2.920 -0.751 -4.068 3.745 4.273" Properties=species:S:1:pos:R:3 pbc="T T T"
Ho -2.445 -0.191 -1.520
Cd -6.115 1.812 0.031
Er -3.147 1.718 1.330
```

Output
- formation energy from the elements (meV per atom) = -190
- density (Mg/m³) = 8.9